A plane-wave DFT calculation with GGA-PBE was carried out for crystalline Rb2SrRu at its relaxed geometry.

Cell lengths 8.694, 8.694, 8.694 Å; angles 120.43, 120.43, 89.25 degrees
Fractional positions:
1 Rb 0.000 0.000 0.000
2 Rb 0.000 0.000 0.500
3 Rb 0.000 0.500 0.000
4 Rb 0.500 0.000 0.500
5 Sr 0.375 0.625 0.750
6 Sr 0.625 0.375 0.250
7 Ru 0.125 0.875 0.250
8 Ru 0.875 0.125 0.750

**Space-group type**: I4_1/amd, No. 141
**M_tot**: 0.0 μB/cell
**Formation energy**: 1482 meV per atom
**Distance to the lowest polymorph of the same formula**: 306.4 meV/atom

A plane-wave DFT calculation with GGA-PBE was carried out for crystalline Th3CdPb12 at its relaxed geometry.

Cell lengths 4.873, 4.873, 20.080 Å; angles 90.00, 90.00, 90.00 degrees
Fractional positions:
1 Th 0.000 0.000 0.000
2 Th 0.000 0.000 0.241
3 Th 0.000 0.000 0.759
4 Cd 0.000 0.000 0.500
5 Pb 0.000 0.500 0.122
6 Pb 0.000 0.500 0.376
7 Pb 0.000 0.500 0.624
8 Pb 0.000 0.500 0.878
9 Pb 0.500 0.000 0.122
10 Pb 0.500 0.000 0.376
11 Pb 0.500 0.000 0.624
12 Pb 0.500 0.000 0.878
13 Pb 0.500 0.500 0.000
14 Pb 0.500 0.500 0.251
15 Pb 0.500 0.500 0.500
16 Pb 0.500 0.500 0.749

**Space-group type**: P4/mmm, No. 123
**M_tot**: 0.0 μB/cell
**Formation energy**: -149 meV per atom

A plane-wave DFT calculation with GGA-PBE was carried out for crystalline LiTlHg2Pt at its relaxed geometry.

Cell lengths 5.324, 5.324, 4.725 Å; angles 90.00, 90.00, 90.00 degrees
Fractional positions:
1 Li 0.000 0.000 0.000
2 Tl 0.500 0.500 0.000
3 Hg 0.000 0.500 0.500
4 Hg 0.500 0.000 0.500
5 Pt 0.000 0.000 0.500

**Space-group type**: P4/mmm, No. 123
**M_tot**: 0.0 μB/cell
**Formation energy**: -92 meV per atom

A plane-wave DFT calculation with GGA-PBE was carried out for crystalline Ta11Ni2Se8 at its relaxed geometry.

Cell lengths 12.120, 19.681, 3.444 Å; angles 90.00, 90.00, 90.00 degrees
Fractional positions:
1 Ta 0.000 0.000 0.000
2 Ta 0.057 0.241 0.000
3 Ta 0.066 0.114 0.500
4 Ta 0.152 0.787 0.500
5 Ta 0.178 0.948 0.500
6 Ta 0.179 0.354 0.500
7 Ta 0.321 0.854 0.000
8 Ta 0.322 0.448 0.000
9 Ta 0.348 0.287 0.000
10 Ta 0.434 0.614 0.000
11 Ta 0.443 0.741 0.500
12 Ta 0.500 0.500 0.500
13 Ta 0.557 0.259 0.500
14 Ta 0.566 0.386 0.000
15 Ta 0.652 0.713 0.000
16 Ta 0.678 0.552 0.000
17 Ta 0.679 0.146 0.000
18 Ta 0.821 0.646 0.500
19 Ta 0.822 0.052 0.500
20 Ta 0.848 0.213 0.500
21 Ta 0.934 0.886 0.500
22 Ta 0.943 0.759 0.000
23 Ni 0.089 0.870 0.000
24 Ni 0.411 0.370 0.500
25 Ni 0.589 0.630 0.500
26 Ni 0.911 0.130 0.000
27 Se 0.036 0.675 0.500
28 Se 0.111 0.445 0.000
29 Se 0.209 0.054 0.000
30 Se 0.220 0.213 0.500
31 Se 0.280 0.713 0.000
32 Se 0.291 0.554 0.500
33 Se 0.389 0.945 0.500
34 Se 0.464 0.175 0.000
35 Se 0.536 0.825 0.000
36 Se 0.611 0.055 0.500
37 Se 0.709 0.446 0.500
38 Se 0.720 0.287 0.000
39 Se 0.780 0.787 0.500
40 Se 0.791 0.946 0.000
41 Se 0.889 0.555 0.000
42 Se 0.964 0.325 0.500

**Space-group type**: Pnnm, No. 58
**M_tot**: 0.0 μB/cell

A plane-wave DFT calculation with GGA-PBE was carried out for crystalline BaDy2AgO5 at its relaxed geometry.

Cell lengths 7.750, 7.750, 7.750 Å; angles 129.76, 129.76, 73.79 degrees
Fractional positions:
1 Ba 0.250 0.250 0.000
2 Ba 0.750 0.750 0.000
3 Dy 0.170 0.670 0.840
4 Dy 0.330 0.170 0.500
5 Dy 0.670 0.830 0.500
6 Dy 0.830 0.330 0.160
7 Ag 0.250 0.750 0.500
8 Ag 0.750 0.250 0.500
9 O 0.000 0.000 0.000
10 O 0.034 0.238 0.500
11 O 0.238 0.738 0.205
12 O 0.262 0.466 0.500
13 O 0.466 0.966 0.205
14 O 0.500 0.500 0.000
15 O 0.534 0.034 0.795
16 O 0.738 0.534 0.500
17 O 0.762 0.262 0.795
18 O 0.966 0.762 0.500

**Space-group type**: I4/mcm, No. 140
**M_tot**: 1.3 μB/cell

A plane-wave DFT calculation with GGA-PBE was carried out for crystalline Ca2HfOsSe at its relaxed geometry.

Cell lengths 5.149, 5.149, 5.004 Å; angles 90.00, 90.00, 90.00 degrees
Fractional positions:
1 Ca 0.000 0.500 0.000
2 Ca 0.500 0.000 0.000
3 Hf 0.000 0.000 0.500
4 Os 0.500 0.500 0.500
5 Se 0.000 0.000 0.000

**Space-group type**: P4/mmm, No. 123
**M_tot**: 0.0 μB/cell

A plane-wave DFT calculation with GGA-PBE was carried out for crystalline ZrOs2Se at its relaxed geometry.

Cell lengths 3.939, 5.894, 5.894 Å; angles 29.30, 90.00, 90.00 degrees
Fractional positions:
1 Zr 0.000 0.000 0.000
2 Os 0.000 0.242 0.242
3 Os 0.500 0.651 0.651
4 Se 0.500 0.393 0.393

**Space-group type**: Amm2, No. 38
**M_tot**: 0.0 μB/cell

A plane-wave DFT calculation with GGA-PBE was carried out for crystalline MnTl2AgI6 at its relaxed geometry.

Cell lengths 7.582, 8.634, 13.570 Å; angles 90.00, 122.15, 90.00 degrees
Fractional positions:
1 Mn 0.000 0.000 0.000
2 Mn 0.000 0.500 0.500
3 Tl 0.295 0.109 0.749
4 Tl 0.295 0.391 0.249
5 Tl 0.705 0.609 0.751
6 Tl 0.705 0.891 0.251
7 Ag 0.500 0.000 0.500
8 Ag 0.500 0.500 0.000
9 I 0.140 0.503 0.729
10 I 0.140 0.997 0.229
11 I 0.237 0.677 0.039
12 I 0.237 0.823 0.539
13 I 0.333 0.164 0.040
14 I 0.333 0.336 0.540
15 I 0.667 0.664 0.460
16 I 0.667 0.836 0.960
17 I 0.763 0.177 0.461
18 I 0.763 0.323 0.961
19 I 0.860 0.003 0.771
20 I 0.860 0.497 0.271

**Space-group type**: P2_1/c, No. 14
**M_tot**: 8.0 μB/cell

A plane-wave DFT calculation with GGA-PBE was carried out for crystalline Si2PCl at its relaxed geometry.

Cell lengths 4.539, 4.539, 4.539 Å; angles 60.00, 60.00, 60.00 degrees
Fractional positions:
1 Si 0.250 0.250 0.250
2 Si 0.750 0.750 0.750
3 P 0.000 0.000 0.000
4 Cl 0.500 0.500 0.500

**Space-group type**: Fm-3m, No. 225
**M_tot**: 0.0 μB/cell
**Distance to the lowest polymorph of the same formula**: 491.2 meV/atom

A plane-wave DFT calculation with GGA-PBE was carried out for crystalline KLaTeS at its relaxed geometry.

Cell lengths 8.263, 8.263, 8.263 Å; angles 31.48, 31.48, 31.48 degrees
Fractional positions:
1 K 0.000 0.000 0.000
2 La 0.515 0.515 0.515
3 Te 0.766 0.766 0.766
4 S 0.240 0.240 0.240

**Space-group type**: R3m, No. 160
**M_tot**: 0.0 μB/cell

A plane-wave DFT calculation with GGA-PBE was carried out for crystalline TlIr3Pt at its relaxed geometry.

Cell lengths 4.855, 4.855, 4.855 Å; angles 90.00, 90.00, 90.00 degrees
Fractional positions:
1 Tl 0.000 0.000 0.000
2 Ir 0.000 0.500 0.500
3 Ir 0.500 0.000 0.500
4 Ir 0.500 0.500 0.000
5 Pt 0.500 0.500 0.500

**Space-group type**: Pm-3m, No. 221
**M_tot**: 2.2 μB/cell
**Formation energy**: 1752 meV per atom
**Distance to the lowest polymorph of the same formula**: 0.0 meV/atom

A plane-wave DFT calculation with GGA-PBE was carried out for crystalline Cu5Pt2Au2 at its relaxed geometry.

Cell lengths 6.005, 6.005, 6.082 Å; angles 106.97, 106.97, 37.85 degrees
Fractional positions:
1 Cu 0.000 0.000 0.000
2 Cu 0.218 0.218 0.320
3 Cu 0.336 0.336 0.004
4 Cu 0.664 0.664 0.996
5 Cu 0.782 0.782 0.680
6 Pt 0.439 0.439 0.680
7 Pt 0.561 0.561 0.320
8 Au 0.122 0.122 0.679
9 Au 0.878 0.878 0.321

**Space-group type**: C2/m, No. 12
**M_tot**: 0.0 μB/cell
**Formation energy**: -80 meV per atom
**Distance to the lowest polymorph of the same formula**: 0.0 meV/atom

A plane-wave DFT calculation with GGA-PBE was carried out for crystalline Ho3TmCo8 at its relaxed geometry.

Cell lengths 8.742, 8.742, 8.742 Å; angles 33.53, 33.53, 33.53 degrees
Fractional positions:
1 Ho 0.000 0.000 0.000
2 Ho 0.125 0.125 0.125
3 Ho 0.500 0.500 0.500
4 Tm 0.625 0.625 0.625
5 Co 0.062 0.563 0.563
6 Co 0.063 0.063 0.563
7 Co 0.063 0.563 0.063
8 Co 0.313 0.313 0.313
9 Co 0.563 0.062 0.563
10 Co 0.563 0.063 0.063
11 Co 0.563 0.563 0.062
12 Co 0.813 0.813 0.813

**Space-group type**: R3m, No. 160
**M_tot**: 7.5 μB/cell
**Formation energy**: -233 meV per atom

A plane-wave DFT calculation with GGA-PBE was carried out for crystalline NaAg4F6 at its relaxed geometry.

Cell lengths 4.563, 6.020, 6.943 Å; angles 74.47, 76.75, 76.50 degrees
Fractional positions:
1 Na 0.000 0.000 0.000
2 Ag 0.254 0.315 0.209
3 Ag 0.586 0.661 0.249
4 Ag 0.602 0.155 0.631
5 Ag 0.996 0.647 0.647
6 F 0.058 0.715 0.315
7 F 0.093 0.169 0.646
8 F 0.485 0.062 0.975
9 F 0.510 0.627 0.624
10 F 0.755 0.203 0.287
11 F 0.967 0.617 0.966

**Space-group type**: P1, No. 1
**M_tot**: 0.4 μB/cell

A plane-wave DFT calculation with GGA-PBE was carried out for crystalline TbS6Br2 at its relaxed geometry.

Cell lengths 4.221, 8.437, 9.116 Å; angles 115.41, 93.08, 91.92 degrees
Fractional positions:
1 Tb 0.000 0.000 0.000
2 S 0.097 0.500 0.721
3 S 0.098 0.717 0.460
4 S 0.123 0.292 0.298
5 S 0.877 0.708 0.702
6 S 0.902 0.283 0.540
7 S 0.903 0.500 0.279
8 Br 0.499 0.858 0.117
9 Br 0.501 0.142 0.883

**Space-group type**: P-1, No. 2
**M_tot**: 0.9 μB/cell

A plane-wave DFT calculation with GGA-PBE was carried out for crystalline V2PtC at its relaxed geometry.

Cell lengths 5.210, 5.210, 5.210 Å; angles 101.65, 101.65, 126.59 degrees
Fractional positions:
1 V 0.022 0.125 0.397
2 V 0.375 0.978 0.103
3 V 0.728 0.625 0.603
4 V 0.875 0.272 0.897
5 Pt 0.250 0.750 0.500
6 Pt 0.500 0.500 0.000
7 C 0.000 0.000 0.000
8 C 0.750 0.250 0.500

**Space-group type**: I-42d, No. 122
**M_tot**: 0.0 μB/cell
**Formation energy**: 1 meV per atom

A plane-wave DFT calculation with GGA-PBE was carried out for crystalline Th3Ir7Rh2 at its relaxed geometry.

Cell lengths 9.447, 9.447, 9.447 Å; angles 32.94, 32.94, 32.94 degrees
Fractional positions:
1 Th 0.000 0.000 0.000
2 Th 0.139 0.139 0.139
3 Th 0.861 0.861 0.861
4 Ir 0.081 0.583 0.583
5 Ir 0.417 0.417 0.919
6 Ir 0.417 0.919 0.417
7 Ir 0.500 0.500 0.500
8 Ir 0.583 0.081 0.583
9 Ir 0.583 0.583 0.081
10 Ir 0.919 0.417 0.417
11 Rh 0.333 0.333 0.333
12 Rh 0.667 0.667 0.667

**Space-group type**: R-3m, No. 166
**M_tot**: 0.0 μB/cell
**Formation energy**: -698 meV per atom

A plane-wave DFT calculation with GGA-PBE was carried out for crystalline MgZrHg2 at its relaxed geometry.

Cell lengths 3.203, 4.436, 6.226 Å; angles 90.00, 90.00, 90.00 degrees
Fractional positions:
1 Mg 0.000 0.000 0.000
2 Zr 0.500 0.500 0.287
3 Hg 0.000 0.000 0.495
4 Hg 0.500 0.500 0.798

**Space-group type**: Pmm2, No. 25
**M_tot**: 0.0 μB/cell
**Formation energy**: -49 meV per atom

A plane-wave DFT calculation with GGA-PBE was carried out for crystalline TbYPtAu at its relaxed geometry.

Cell lengths 5.030, 5.030, 5.030 Å; angles 60.00, 60.00, 60.00 degrees
Fractional positions:
1 Tb 0.000 0.000 0.000
2 Y 0.500 0.500 0.500
3 Pt 0.750 0.750 0.750
4 Au 0.250 0.250 0.250

**Space-group type**: F-43m, No. 216
**M_tot**: 0.0 μB/cell
**Formation energy**: -1024 meV per atom
**Distance to the lowest polymorph of the same formula**: 53.9 meV/atom

A plane-wave DFT calculation with GGA-PBE was carried out for crystalline SmTmPd2 at its relaxed geometry.

Cell lengths 7.000, 7.000, 7.000 Å; angles 34.28, 34.28, 34.28 degrees
Fractional positions:
1 Sm 0.000 0.000 0.000
2 Tm 0.500 0.500 0.500
3 Pd 0.245 0.245 0.245
4 Pd 0.755 0.755 0.755

**Space-group type**: R-3m, No. 166
**M_tot**: 0.0 μB/cell
**Formation energy**: -729 meV per atom
**Distance to the lowest polymorph of the same formula**: 164.0 meV/atom

| no. | VASP energy (eV per atom) |
| --- | --- |
| 1 | -1.7410 |
| 2 | -4.3789 |
| 3 | -2.2766 |
| 4 | -8.6516 |
| 5 | -6.7512 |
| 6 | -5.2183 |
| 7 | -8.6433 |
| 8 | -3.0287 |
| 9 | -4.0137 |
| 10 | -5.0089 |
| 11 | -5.2456 |
| 12 | -4.4267 |
| 13 | -6.4877 |
| 14 | -3.4921 |
| 15 | -4.1795 |
| 16 | -8.3745 |
| 17 | -8.9469 |
| 18 | -2.7355 |
| 19 | -6.1271 |
| 20 | -5.6231 |